1.
Material: TlH3Ru
Method: DFT, GGA-PBE
State: optimized geometry

Computed properties:
**Offset from the most stable computed form**: 0 meV per atom
**E_tot**: -20.1 eV per cell

Unit cell a=3.6592 b=3.6592 c=3.6592 alpha=90.00 beta=90.00 gamma=90.00
Positions (direct):
Tl (0.0000, 0.0000, 0.0000)
H (0.0000, 0.5000, 0.5000)
H (0.5000, 0.0000, 0.5000)
H (0.5000, 0.5000, 0.0000)
Ru (0.5000, 0.5000, 0.5000)

***

2.
Material: TlHRu3
Method: DFT, GGA-PBE
State: optimized geometry

Computed properties:
**Offset from the most stable computed form**: 0 meV per atom
**E_tot**: -31.2 eV per cell

Unit cell a=4.0344 b=4.0344 c=4.0344 alpha=90.00 beta=90.00 gamma=90.00
Positions (direct):
Tl (0.0000, 0.0000, 0.0000)
H (0.5000, 0.5000, 0.5000)
Ru (0.0000, 0.5000, 0.5000)
Ru (0.5000, 0.0000, 0.5000)
Ru (0.5000, 0.5000, 0.0000)

***

3.
Material: TlH4Ru
Method: DFT, GGA-PBE
State: optimized geometry

Computed properties:
**E_tot**: -48.4 eV per cell

Unit cell a=5.5284 b=5.5284 c=5.9729 alpha=119.75 beta=119.75 gamma=58.51
Positions (direct):
Tl (0.1299, 0.1299, 0.3266)
Tl (0.8701, 0.8701, 0.6734)
H (0.1591, 0.5047, 0.1022)
H (0.3240, 0.6760, 0.5000)
H (0.3801, 0.3801, 0.8961)
H (0.4953, 0.8409, 0.8978)
H (0.5047, 0.1591, 0.1022)
H (0.6199, 0.6199, 0.1039)
H (0.6760, 0.3240, 0.5000)
H (0.8409, 0.4953, 0.8978)
Ru (0.4984, 0.4984, 0.2486)
Ru (0.5016, 0.5016, 0.7514)

***

Please write out number 1 again, unchanged.
Material: TlH3Ru
Method: DFT, GGA-PBE
State: optimized geometry

Computed properties:
**Offset from the most stable computed form**: 0 meV per atom
**E_tot**: -20.1 eV per cell

Unit cell a=3.6592 b=3.6592 c=3.6592 alpha=90.00 beta=90.00 gamma=90.00
Positions (direct):
Tl (0.0000, 0.0000, 0.0000)
H (0.0000, 0.5000, 0.5000)
H (0.5000, 0.0000, 0.5000)
H (0.5000, 0.5000, 0.0000)
Ru (0.5000, 0.5000, 0.5000)

***

Question: Among the records above, which one has the highest E_tot?
Answer: TlH3Ru

***

Question: What is the E_tot in the second record?
Answer: -31.2 eV per cell